Here is a relaxed Dy2BeSi4Ni3 crystal from Alexandria via LeMat-Bulk. Energies are from GGA-PBE.

Cell lengths 3.9307, 3.9307, 9.5631 Å; angles 90.00, 90.00, 90.00 degrees
With the nearest neighbours (Å) after each atom.
Positions (direct):
1 Dy 0.0000 0.5000 0.2489  8 Si 3.00-3.10, 6 Ni 3.03-3.09, 2 Be 3.09
2 Dy 0.5000 0.0000 0.7511  8 Si 3.00-3.10, 6 Ni 3.03-3.09, 2 Be 3.09
3 Be 0.5000 0.5000 0.0000  4 Si 2.33
4 Si 0.0000 0.0000 0.5000  4 Ni 2.30
5 Si 0.0000 0.5000 0.8683  3 Ni 2.32-2.33, 2 Be 2.33
6 Si 0.5000 0.0000 0.1317  3 Ni 2.32-2.33, 2 Be 2.33
7 Si 0.5000 0.5000 0.5000  4 Ni 2.30
8 Ni 0.0000 0.0000 0.0000  4 Si 2.33
9 Ni 0.0000 0.5000 0.6257  5 Si 2.30-2.32
10 Ni 0.5000 0.0000 0.3743  5 Si 2.30-2.32

Computed properties:
Space-group type = P-4m2, No. 115
Energy relative to the elements, uncorrected = -74.2 kJ per mole of atoms
E_tot = -59.65 eV per cell